Record 1
First-principles (GGA-PBE) data for a relaxed structure of Pd2O3F, as listed in Alexandria via LeMat-Bulk.

Lattice parameters (Å, degrees): 10.6108 10.6107 6.2934 30.18 30.17 34.59
With the nearest neighbours (Å) after each atom.
Fractional positions:
O1 0.2288 0.7347 0.2590  3 Pd 2.03-2.06
O2 0.7336 0.7336 0.2466  3 Pd 2.02-2.06
O3 0.7712 0.2653 0.7410  3 Pd 2.03-2.06
F1 0.7670 0.7670 0.6580  1 Pd 2.01
Pd1 0.5000 0.0000 0.0000  4 O 2.02-2.04
F2 0.2330 0.2330 0.3420  1 Pd 2.01
Pd2 0.0000 0.0000 0.0000  2 F 2.01, 4 O 2.03
O4 0.2664 0.2664 0.7534  3 Pd 2.02-2.06
O5 0.7347 0.2288 0.2590  3 Pd 2.03-2.06
O6 0.2653 0.7712 0.7410  3 Pd 2.03-2.06
Pd3 0.0000 0.5000 0.0000  4 O 2.02-2.04
Pd4 0.5000 0.5000 0.0000  6 O 2.06

## Properties
Raw formation energy   -459 meV per atom
Size of the total moment   1.9 μB per cell
Energy relative to the lowest polymorph listed for this composition   0.000 eV per atom

=====

Record 2
First-principles (GGA-PBE) data for a relaxed structure of CrTc2AsPd, as listed in Alexandria via LeMat-Bulk.

Lattice parameters (Å, degrees): 4.5092 4.3410 4.5092 90.00 90.00 90.00
With the nearest neighbours (Å) after each atom.
Fractional positions:
Tc1 0.5000 0.0000 0.0000  2 As 2.25
Pd1 0.5000 0.5000 0.5000  8 Tc 3.13, 4 Cr 3.19
As1 0.0000 0.0000 0.0000  2 Cr 2.17, 4 Tc 2.25
Cr1 0.0000 0.5000 0.0000  2 As 2.17
Tc2 0.0000 0.0000 0.5000  2 As 2.25

## Properties
Formation enthalpy at 0 K   1.172 eV/atom
Size of the total moment   0.0 μB per cell

=====

Which of these has the highest size of the total moment?
Pd2O3F